Entry 1:
Density functional theory data (GGA-PBE) for a geometry-optimized RbSmFeTe3 structure.

The total energy comes out at -4.788 eV per atom. Its size of the total moment is 3.82 μB/f.u.

It has space group Pnma (No. 62), with a = 16.961 Å, b = 4.363 Å, c = 11.846 Å, α = 90.00°, β = 90.00° and γ = 90.00°. Symmetry generates all atoms from Rb at (0.234, 0.250, 0.025), Sm at (0.018, 0.250, 0.343), Fe at (0.008, 0.750, 0.075), Te at (0.085, 0.750, 0.883), Te at (0.101, 0.250, 0.576) and Te at (0.124, 0.750, 0.227).



Entry 2:
Density functional theory data (GGA-PBE) for a geometry-optimized RbSmFeTe3 structure.

The total energy comes out at -4.777 eV per atom. Its size of the total moment is 3.99 μB/f.u.

It has space group Cmcm (No. 63), with a = 4.430 Å, b = 16.555 Å, c = 11.671 Å, α = 90.00°, β = 90.00° and γ = 90.00°. Symmetry generates all atoms from Rb at (0.000, 0.247, 0.250), Sm at (0.000, 0.500, 0.000), Fe at (0.000, 0.031, 0.750), Te at (0.000, 0.125, 0.569) and Te at (0.000, 0.434, 0.750).



Entry 3:
Density functional theory data (GGA-PBE) for a geometry-optimized RbSrFe structure.

The total energy comes out at -2.338 eV per atom. Its size of the total moment is 2.81 μB/f.u.

It has space group F-43m (No. 216), with a = 7.978 Å, b = 7.978 Å, c = 7.978 Å, α = 90.00°, β = 90.00° and γ = 90.00°. Symmetry generates all atoms from Rb at (0.000, 0.000, 0.000), Sr at (0.250, 0.250, 0.250) and Fe at (0.250, 0.250, 0.750).



Entry 4:
Density functional theory data (GGA-PBE) for a geometry-optimized RbSrFe structure.

The total energy comes out at -2.688 eV per atom. Its size of the total moment is 2.88 μB/f.u.

It has space group F-43m (No. 216), with a = 8.100 Å, b = 8.100 Å, c = 8.100 Å, α = 90.00°, β = 90.00° and γ = 90.00°. Symmetry generates all atoms from Rb at (0.000, 0.000, 0.000), Sr at (0.000, 0.000, 0.500) and Fe at (0.250, 0.250, 0.250).



Entry 5:
Density functional theory data (GGA-PBE) for a geometry-optimized RbTaFe structure.

The total energy comes out at -5.016 eV per atom. Its size of the total moment is 0.12 μB/f.u.

It has space group F-43m (No. 216), with a = 6.416 Å, b = 6.416 Å, c = 6.416 Å, α = 90.00°, β = 90.00° and γ = 90.00°. Symmetry generates all atoms from Rb at (0.000, 0.000, 0.000), Ta at (0.000, 0.000, 0.500) and Fe at (0.250, 0.250, 0.250).



Entry 6:
Density functional theory data (GGA-PBE) for a geometry-optimized RbTaFe structure.

The total energy comes out at -3.945 eV per atom. Its size of the total moment is 2.07 μB/f.u.

It has space group F-43m (No. 216), with a = 6.951 Å, b = 6.951 Å, c = 6.951 Å, α = 90.00°, β = 90.00° and γ = 90.00°. Symmetry generates all atoms from Rb at (0.000, 0.000, 0.000), Ta at (0.250, 0.250, 0.250) and Fe at (0.250, 0.250, 0.750).



Entry 7:
Density functional theory data (GGA-PBE) for a geometry-optimized RbFeTc structure.

The total energy comes out at -3.562 eV per atom. Its size of the total moment is 5.47 μB/f.u.

It has space group F-43m (No. 216), with a = 6.205 Å, b = 6.205 Å, c = 6.205 Å, α = 90.00°, β = 90.00° and γ = 90.00°. Symmetry generates all atoms from Rb at (0.000, 0.000, 0.000), Fe at (0.250, 0.250, 0.750) and Tc at (0.250, 0.250, 0.250).



Entry 8:
Density functional theory data (GGA-PBE) for a geometry-optimized RbFeTc structure.

The total energy comes out at -4.423 eV per atom. Its size of the total moment is 2.03 μB/f.u.

It has space group F-43m (No. 216), with a = 6.384 Å, b = 6.384 Å, c = 6.384 Å, α = 90.00°, β = 90.00° and γ = 90.00°. Symmetry generates all atoms from Rb at (0.000, 0.000, 0.000), Fe at (0.000, 0.000, 0.500) and Tc at (0.250, 0.250, 0.250).



The lowest size of the total moment belongs to which entry?
number 5



Among the records above, which one has the highest size of the total moment?
number 7



Look up the size of the total moment of the fifth one.
0.12 μB/f.u.



Which value of size of the total moment does entry 3 give?
2.81 μB/f.u.